No. 1
# LaTl2Pb

A relaxed LaTl2Pb crystal (PBEsol, Alexandria via LeMat-Bulk).

Its crystal system is tetragonal. For the magnetic moment, the calculation gives 0.00 μB/cell. The formation energy is -0.247 eV per atom.

It has space group P4/mmm (No. 123), with a = 3.9774 Å, b = 3.9774 Å, c = 7.2042 Å, α = 90.00°, β = 90.00° and γ = 90.00°. Symmetry generates all atoms from La at (0.0000, 0.0000, 0.0000), Tl at (0.5000, 0.5000, 0.2695) and Pb at (0.0000, 0.0000, 0.5000).

No. 2
# OsAu2Br

A relaxed OsAu2Br crystal (PBEsol, Alexandria via LeMat-Bulk).

Its crystal system is orthorhombic. For the magnetic moment, the calculation gives 0.00 μB/cell. As for the raw formation energy: 2.82 eV/f.u.

It has space group Pmmm (No. 47), with a = 2.6982 Å, b = 3.5395 Å, c = 7.9375 Å, α = 90.00°, β = 90.00° and γ = 90.00°. Symmetry generates all atoms from Os at (0.0000, 0.0000, 0.0000), Au at (0.5000, 0.5000, 0.2022) and Br at (0.5000, 0.0000, 0.5000).

No. 3
# NaCaHRu2

A relaxed NaCaHRu2 crystal (PBEsol, Alexandria via LeMat-Bulk).

Its crystal system is tetragonal. For the magnetic moment, the calculation gives 2.72 μB/cell. The electronic total energy comes out at -18.81 eV/cell.

It has space group P4/mmm (No. 123), with a = 5.0155 Å, b = 5.0155 Å, c = 3.3547 Å, α = 90.00°, β = 90.00° and γ = 90.00°. Symmetry generates all atoms from Na at (0.0000, 0.0000, 0.0000), Ca at (0.5000, 0.5000, 0.5000), H at (0.0000, 0.0000, 0.5000) and Ru at (0.0000, 0.5000, 0.0000).

No. 4
# ReTcMoAs2

A relaxed ReTcMoAs2 crystal (PBEsol, Alexandria via LeMat-Bulk).

Its crystal system is tetragonal. For the magnetic moment, the calculation gives 2.13 μB/cell. The formation energy is 1.651 eV per atom.

It has space group P4/mmm (No. 123), with a = 4.6028 Å, b = 4.6028 Å, c = 4.7319 Å, α = 90.00°, β = 90.00° and γ = 90.00°. Symmetry generates all atoms from Re at (0.0000, 0.0000, 0.0000), Tc at (0.0000, 0.0000, 0.5000), Mo at (0.5000, 0.5000, 0.0000) and As at (0.0000, 0.5000, 0.5000).

No. 5
# HgTeSe3

A relaxed HgTeSe3 crystal (PBEsol, Alexandria via LeMat-Bulk).

Its crystal system is cubic. For the magnetic moment, the calculation gives 0.00 μB/cell. As for the raw formation energy: 3.40 eV/f.u.

It has space group Pm-3m (No. 221), with a = 5.1119 Å, b = 5.1119 Å, c = 5.1119 Å, α = 90.00°, β = 90.00° and γ = 90.00°. Symmetry generates all atoms from Hg at (0.0000, 0.0000, 0.0000), Te at (0.5000, 0.5000, 0.5000) and Se at (0.0000, 0.0000, 0.5000).

No. 6
# Sr2ScHg

A relaxed Sr2ScHg crystal (PBEsol, Alexandria via LeMat-Bulk).

Its crystal system is orthorhombic. For the magnetic moment, the calculation gives 0.00 μB/cell. The formation energy is -0.009 eV per atom.

It has space group Cmmm (No. 65), with a = 7.7642 Å, b = 7.7779 Å, c = 4.1429 Å, α = 90.00°, β = 90.00° and γ = 90.00°. Symmetry generates all atoms from Sr at (0.2500, 0.2500, 0.0000), Sc at (0.0000, 0.0000, 0.5000) and Hg at (0.0000, 0.5000, 0.5000).

No. 7
# La5As3

A relaxed La5As3 crystal (PBEsol, Alexandria via LeMat-Bulk).

Its crystal system is orthorhombic. For the magnetic moment, the calculation gives 0.00 μB/cell. The formation energy is -1.003 eV per atom.

It has space group Cmmm (No. 65), with a = 8.1842 Å, b = 11.0982 Å, c = 4.7179 Å, α = 90.00°, β = 90.00° and γ = 90.00°. Symmetry generates all atoms from La at (0.0000, 0.0000, 0.0000), La at (0.2189, 0.5000, 0.5000), La at (0.2500, 0.2500, 0.0000), As at (0.0000, 0.1940, 0.5000) and As at (0.0000, 0.5000, 0.0000).

No. 8
# Ca3Zn2Cu2P4

A relaxed Ca3Zn2Cu2P4 crystal (PBEsol, Alexandria via LeMat-Bulk).

Its crystal system is trigonal. For the magnetic moment, the calculation gives 0.00 μB/cell. The formation energy is -0.806 eV per atom.

It has space group P-3m1 (No. 164), with a = 3.9847 Å, b = 3.9847 Å, c = 14.5103 Å, α = 90.00°, β = 90.00° and γ = 120.00°. Symmetry generates all atoms from Ca at (0.0000, 0.0000, 0.0000), Ca at (0.0000, 0.0000, 0.2681), Zn at (0.3333, 0.6667, 0.5620), Cu at (0.3333, 0.6667, 0.1351), P at (0.3333, 0.6667, 0.3893) and P at (0.3333, 0.6667, 0.8659).

No. 9
# TeAsAuSe2

A relaxed TeAsAuSe2 crystal (PBEsol, Alexandria via LeMat-Bulk).

Its crystal system is tetragonal. For the magnetic moment, the calculation gives 0.01 μB/cell. As for the raw formation energy: 5.32 eV/f.u.

It has space group P4/mmm (No. 123), with a = 5.1727 Å, b = 5.1727 Å, c = 5.3012 Å, α = 90.00°, β = 90.00° and γ = 90.00°. Symmetry generates all atoms from Te at (0.0000, 0.0000, 0.0000), As at (0.0000, 0.0000, 0.5000), Au at (0.5000, 0.5000, 0.5000) and Se at (0.0000, 0.5000, 0.0000).

No. 10
# Be2OsRu

A relaxed Be2OsRu crystal (PBEsol, Alexandria via LeMat-Bulk).

Its crystal system is orthorhombic. For the magnetic moment, the calculation gives 0.00 μB/cell. The formation energy is -0.163 eV per atom.

It has space group Amm2 (No. 38), with a = 3.6736 Å, b = 2.7643 Å, c = 8.2863 Å, α = 90.00°, β = 90.00° and γ = 90.00°. Symmetry generates all atoms from Be at (0.0000, 0.0000, 0.0000), Be at (0.5000, 0.0000, 0.1479), Os at (0.5000, 0.0000, 0.4227) and Ru at (0.0000, 0.0000, 0.7245).

No. 11
# Sr2CaTi3O9

A relaxed Sr2CaTi3O9 crystal (PBEsol, Alexandria via LeMat-Bulk).

Its crystal system is tetragonal. For the magnetic moment, the calculation gives 0.00 μB/cell. As for the raw formation energy: -47.63 eV/f.u.

It has space group P4/mmm (No. 123), with a = 3.8815 Å, b = 3.8815 Å, c = 11.6406 Å, α = 90.00°, β = 90.00° and γ = 90.00°. Symmetry generates all atoms from Sr at (0.0000, 0.0000, 0.1681), Ca at (0.0000, 0.0000, 0.5000), Ti at (0.5000, 0.5000, 0.0000), Ti at (0.5000, 0.5000, 0.3359), O at (0.0000, 0.5000, 0.0000), O at (0.0000, 0.5000, 0.3375), O at (0.5000, 0.5000, 0.1678) and O at (0.5000, 0.5000, 0.5000).

No. 12
# KBaN2F

A relaxed KBaN2F crystal (PBEsol, Alexandria via LeMat-Bulk).

Its crystal system is tetragonal. For the magnetic moment, the calculation gives 4.00 μB/cell. As for the raw formation energy: 0.25 eV/f.u.

It has space group P4/mmm (No. 123), with a = 5.3189 Å, b = 5.3189 Å, c = 4.9796 Å, α = 90.00°, β = 90.00° and γ = 90.00°. Symmetry generates all atoms from K at (0.0000, 0.0000, 0.0000), Ba at (0.5000, 0.5000, 0.5000), N at (0.0000, 0.5000, 0.5000) and F at (0.5000, 0.5000, 0.0000).

No. 13
# ScTePtN2

A relaxed ScTePtN2 crystal (PBEsol, Alexandria via LeMat-Bulk).

Its crystal system is tetragonal. For the magnetic moment, the calculation gives 1.41 μB/cell. As for the raw formation energy: 4.47 eV/f.u.

It has space group P4/mmm (No. 123), with a = 3.9605 Å, b = 3.9605 Å, c = 6.0128 Å, α = 90.00°, β = 90.00° and γ = 90.00°. Symmetry generates all atoms from Sc at (0.0000, 0.0000, 0.0000), Te at (0.0000, 0.0000, 0.5000), Pt at (0.5000, 0.5000, 0.5000) and N at (0.0000, 0.5000, 0.0000).

No. 14
# TcAg3O

A relaxed TcAg3O crystal (PBEsol, Alexandria via LeMat-Bulk).

Its crystal system is cubic. For the magnetic moment, the calculation gives 4.33 μB/cell. As for the raw formation energy: 10.52 eV/f.u.

It has space group Pm-3m (No. 221), with a = 4.9892 Å, b = 4.9892 Å, c = 4.9892 Å, α = 90.00°, β = 90.00° and γ = 90.00°. Symmetry generates all atoms from Tc at (0.0000, 0.0000, 0.0000), Ag at (0.0000, 0.0000, 0.5000) and O at (0.5000, 0.5000, 0.5000).

No. 15
# NaCdC2

A relaxed NaCdC2 crystal (PBEsol, Alexandria via LeMat-Bulk).

Its crystal system is tetragonal. For the magnetic moment, the calculation gives 0.00 μB/cell. The formation energy is 1.910 eV per atom.

It has space group I4_1/amd (No. 141, origin choice 2), with a = 3.9750 Å, b = 3.9750 Å, c = 15.5128 Å, α = 90.00°, β = 90.00° and γ = 90.00°. Symmetry generates all atoms from Na at (0.0000, 0.2500, 0.3750), Cd at (0.0000, 0.2500, 0.8750) and C at (0.0000, 0.0000, 0.0000).

No. 16
# WAu3

A relaxed WAu3 crystal (PBEsol, Alexandria via LeMat-Bulk).

Its crystal system is hexagonal. For the magnetic moment, the calculation gives 0.00 μB/cell. The formation energy is 0.215 eV per atom.

It has space group P-6m2 (No. 187), with a = 2.8502 Å, b = 2.8502 Å, c = 9.3801 Å, α = 90.00°, β = 90.00° and γ = 120.00°. Symmetry generates all atoms from W at (0.0000, 0.0000, 0.0000), Au at (0.0000, 0.0000, 0.5000) and Au at (0.3333, 0.6667, 0.2423).

No. 17
# Tb12Co5Bi

A relaxed Tb12Co5Bi crystal (PBEsol, Alexandria via LeMat-Bulk).

Its crystal system is orthorhombic. For the magnetic moment, the calculation gives 0.00 μB/cell. The formation energy is -0.271 eV per atom.

It has space group Immm (No. 71), with a = 9.3099 Å, b = 9.3482 Å, c = 9.7467 Å, α = 90.00°, β = 90.00° and γ = 90.00°. Symmetry generates all atoms from Tb at (0.0000, 0.1932, 0.2034), Tb at (0.1914, 0.5000, 0.1883), Tb at (0.2085, 0.3156, 0.5000), Co at (0.0000, 0.0000, 0.0000), Co at (0.0000, 0.3773, 0.0000), Co at (0.0000, 0.5000, 0.3881) and Bi at (0.0000, 0.0000, 0.5000).

No. 18
# Tl2CdTc

A relaxed Tl2CdTc crystal (PBEsol, Alexandria via LeMat-Bulk).

Its crystal system is tetragonal. For the magnetic moment, the calculation gives 1.43 μB/cell. The formation energy is 0.506 eV per atom.

It has space group P4mm (No. 99), with a = 3.0516 Å, b = 3.0516 Å, c = 9.2596 Å, α = 90.00°, β = 90.00° and γ = 90.00°. Symmetry generates all atoms from Tl at (0.0000, 0.0000, 0.0000), Tl at (0.5000, 0.5000, 0.3077), Cd at (0.0000, 0.0000, 0.5876) and Tc at (0.5000, 0.5000, 0.7867).

No. 19
# NiHg2Te

A relaxed NiHg2Te crystal (PBEsol, Alexandria via LeMat-Bulk).

Its crystal system is cubic. For the magnetic moment, the calculation gives 0.00 μB/cell. As for the raw formation energy: 1.52 eV/f.u.

It has space group F-43m (No. 216), with a = 6.8746 Å, b = 6.8746 Å, c = 6.8746 Å, α = 90.00°, β = 90.00° and γ = 90.00°. Symmetry generates all atoms from Ni at (0.0000, 0.0000, 0.0000), Hg at (0.0000, 0.0000, 0.5000), Hg at (0.2500, 0.2500, 0.7500) and Te at (0.2500, 0.2500, 0.2500).

No. 20
# Y2SbOs

A relaxed Y2SbOs crystal (PBEsol, Alexandria via LeMat-Bulk).

Its crystal system is tetragonal. For the magnetic moment, the calculation gives 0.00 μB/cell. As for the raw formation energy: -1.03 eV/f.u.

It has space group I-4m2 (No. 119), with a = 4.2134 Å, b = 4.2134 Å, c = 9.8162 Å, α = 90.00°, β = 90.00° and γ = 90.00°. Symmetry generates all atoms from Y at (0.0000, 0.0000, 0.0000), Y at (0.0000, 0.5000, 0.2500), Sb at (0.0000, 0.5000, 0.7500) and Os at (0.0000, 0.0000, 0.5000).